[1]
Here is Ga2H2Cl after structural relaxation from Alexandria. Energies are from PBEsol.

Cell: 4.0099 4.0099 5.3096 Å, 112.19 112.19 90.00°
Last column: nearest neighbours and their distance in Å.
Positions (direct):
H1 0.3074 0.3074 0.6149  4 Ga 2.07
H2 0.6926 0.6926 0.3851  4 Ga 2.07
Ga1 0.2500 0.7500 0.5000  4 H 2.07
Ga2 0.7500 0.2500 0.5000  4 H 2.07
Cl1 0.0000 0.0000 0.0000  2 H 2.76, 8 Ga 3.01

Calculated values
The crystal system is tetragonal. The space group is I4/mmm. Its volume is 14.4 Å³/atom.

[2]
Here is CaZr2Co after structural relaxation from Alexandria. Energies are from PBEsol.

Cell: 3.2262 5.1639 5.8405 Å, 116.24 106.03 90.00°
Last column: nearest neighbours and their distance in Å.
Positions (direct):
Ca1 0.5000 0.0000 0.0000  4 Co 3.04, 2 Ca 3.23, 4 Zr 3.24
Co1 0.0000 0.5000 0.0000  4 Zr 2.54
Zr1 0.6969 0.6969 0.3939  2 Co 2.54
Zr2 0.3031 0.3031 0.6061  2 Co 2.54

Calculated values
The offset from the most stable computed form is 43 meV/atom. The crystal system is orthorhombic. The space group is Immm. Its volume is 20.8 Å³/atom.

[3]
Here is BeTlSb3 after structural relaxation from Alexandria. Energies are from PBEsol.

Cell: 5.5868 5.5868 5.5868 Å, 90.00 90.00 90.00°
Last column: nearest neighbours and their distance in Å.
Positions (direct):
Sb1 0.0000 0.5000 0.0000  2 Tl 2.79
Sb2 0.0000 0.0000 0.5000  2 Tl 2.79
Sb3 0.5000 0.0000 0.0000  2 Tl 2.79
Tl1 0.0000 0.0000 0.0000  6 Sb 2.79
Be1 0.5000 0.5000 0.5000  12 Sb 3.95

Calculated values
The crystal system is cubic. Its uncorrected formation energy is 1.49 eV per atom. The space group is Pm-3m. Its volume is 34.9 Å³/atom.

[4]
Here is LiMgCd2 after structural relaxation from Alexandria. Energies are from PBEsol.

Cell: 5.8702 6.1257 6.1257 Å, 76.73 61.37 61.37°
Last column: nearest neighbours and their distance in Å.
Positions (direct):
Mg1 0.0000 0.0000 0.0000  4 Cd 2.89, 2 Li 2.94
Mg2 0.7500 0.5000 0.5000  4 Cd 2.89, 2 Li 2.94
Li1 0.5000 0.0000 0.0000  4 Cd 2.69, 2 Mg 2.94
Li2 0.2500 0.5000 0.5000  4 Cd 2.69, 2 Mg 2.94
Cd1 0.8750 0.9807 0.5193  2 Li 2.69, 2 Mg 2.89, 2 Cd 2.95
Cd2 0.3750 0.0193 0.4807  2 Li 2.69, 2 Mg 2.89, 2 Cd 2.95
Cd3 0.6057 0.5193 0.0193  2 Li 2.69, 2 Mg 2.89, 2 Cd 2.95
Cd4 0.1443 0.4807 0.9807  2 Li 2.69, 2 Mg 2.89, 2 Cd 2.95

Calculated values
The crystal system is tetragonal. The space group is I-42d. Its volume is 21.2 Å³/atom.

[5]
Here is LiLaW2 after structural relaxation from Alexandria. Energies are from PBEsol.

Cell: 2.9907 4.7218 5.3698 Å, 100.07 106.17 90.00°
Last column: nearest neighbours and their distance in Å.
Positions (direct):
La1 0.5000 0.0000 0.0000  4 Li 2.79, 2 W 2.93, 2 La 2.99
Li1 0.0000 0.5000 0.0000  4 La 2.79, 4 W 2.87, 2 Li 2.99
W1 0.2669 0.2730 0.5338  6 W 2.69-2.99, 2 Li 2.87, 1 La 2.93
W2 0.7331 0.7270 0.4662  6 W 2.69-2.99, 2 Li 2.87, 1 La 2.93

Calculated values
The crystal system is monoclinic. The space group is C2/m. Its volume is 17.9 Å³/atom.

[6]
Here is Tc2HgBi after structural relaxation from Alexandria. Energies are from PBEsol.

Cell: 4.6300 4.6300 4.6300 Å, 60.00 60.00 60.00°
Last column: nearest neighbours and their distance in Å.
Positions (direct):
Tc1 0.2500 0.2500 0.2500  4 Hg 2.84, 4 Bi 2.84
Tc2 0.7500 0.7500 0.7500  4 Hg 2.84, 4 Bi 2.84
Bi1 0.5000 0.5000 0.5000  8 Tc 2.84
Hg1 0.0000 0.0000 0.0000  8 Tc 2.84

Calculated values
The crystal system is cubic. The space group is Fm-3m. Its volume is 17.5 Å³/atom.

[7]
Here is Li2AgIr after structural relaxation from Alexandria. Energies are from PBEsol.

Cell: 2.7083 2.7083 9.0643 Å, 81.41 81.41 60.00°
Last column: nearest neighbours and their distance in Å.
Positions (direct):
Ir1 0.0000 0.0000 0.0000  6 Li 2.60, 6 Ir 2.71
Ag1 0.5000 0.5000 0.5000  6 Ag 2.71, 6 Li 2.85
Li1 0.2558 0.2558 0.2325  3 Ir 2.60, 6 Li 2.71, 3 Ag 2.85
Li2 0.7442 0.7442 0.7675  3 Ir 2.60, 6 Li 2.71, 3 Ag 2.85

Calculated values
The crystal system is trigonal. The space group is R-3m. Its volume is 14.2 Å³/atom.

[8]
Here is NiTeS2Cl after structural relaxation from Alexandria. Energies are from PBEsol.

Cell: 4.3408 4.5083 4.5083 Å, 90.00 90.00 90.00°
Last column: nearest neighbours and their distance in Å.
Positions (direct):
Ni1 0.0000 0.0000 0.0000  2 Cl 2.17, 4 S 2.25
S1 0.0000 0.0000 0.5000  2 Ni 2.25
S2 0.0000 0.5000 0.0000  2 Ni 2.25
Te1 0.5000 0.5000 0.5000  8 S 3.13, 4 Cl 3.19
Cl1 0.5000 0.0000 0.0000  2 Ni 2.17

Calculated values
The crystal system is tetragonal. Its uncorrected formation energy is 0.05 eV per atom. The space group is P4/mmm. Its volume is 17.6 Å³/atom.

[9]
Here is MnFe2W after structural relaxation from Alexandria. Energies are from PBEsol.

Cell: 2.5490 4.0079 4.8307 Å, 90.00 100.83 90.00°
Last column: nearest neighbours and their distance in Å.
Positions (direct):
Fe1 0.9926 0.0000 0.0129  2 Mn 2.41-2.61, 4 Fe 2.44-2.55, 2 W 2.53
Fe2 0.7558 0.5000 0.2492  4 Fe 2.44-2.55, 2 Mn 2.46, 2 W 2.51
Mn1 0.5002 0.0000 0.4880  4 Fe 2.41-2.61, 2 W 2.51, 2 Mn 2.55
W1 0.2515 0.5000 0.7499  4 Fe 2.51-2.53, 2 Mn 2.51, 2 W 2.55

Calculated values
The offset from the most stable computed form is 79 meV/atom. The crystal system is monoclinic. The space group is Pm. Its volume is 12.1 Å³/atom.

[10]
Here is Li5Au3 after structural relaxation from Alexandria. Energies are from PBEsol.

Cell: 5.1247 7.4922 7.4922 Å, 83.28 70.00 70.00°
Last column: nearest neighbours and their distance in Å.
Positions (direct):
Au1 0.7500 0.0000 0.0000  2 Au 2.56, 8 Li 2.68
Au2 0.2500 0.0000 0.0000  2 Au 2.56, 8 Li 2.68
Au3 0.3313 0.5000 0.8375  10 Li 2.62-2.93
Au4 0.6687 0.5000 0.1625  10 Li 2.62-2.93
Au5 0.8313 0.8375 0.5000  10 Li 2.62-2.93
Au6 0.1687 0.1625 0.5000  10 Li 2.62-2.93
Li1 0.7500 0.5000 0.5000  2 Li 2.56, 4 Au 2.70
Li2 0.2500 0.5000 0.5000  2 Li 2.56, 4 Au 2.70
Li3 0.4261 0.8489 0.2990  6 Au 2.62-2.93, 1 Li 2.83
Li4 0.5739 0.1511 0.7010  6 Au 2.62-2.93, 1 Li 2.83
Li5 0.9261 0.2990 0.8489  6 Au 2.62-2.93, 1 Li 2.83
Li6 0.0739 0.7010 0.1511  6 Au 2.62-2.93, 1 Li 2.83
Li7 0.2250 0.8489 0.7010  6 Au 2.62-2.93, 1 Li 2.83
Li8 0.7750 0.1511 0.2990  6 Au 2.62-2.93, 1 Li 2.83
Li9 0.2750 0.2990 0.1511  6 Au 2.62-2.93, 1 Li 2.83
Li10 0.7250 0.7010 0.8489  6 Au 2.62-2.93, 1 Li 2.83

Calculated values
The offset from the most stable computed form is 40 meV/atom. The crystal system is tetragonal. The space group is I4/mcm. Its volume is 15.9 Å³/atom.

[11]
Here is TaReBAu2 after structural relaxation from Alexandria. Energies are from PBEsol.

Cell: 3.8574 4.9247 4.9247 Å, 90.00 90.00 90.00°
Last column: nearest neighbours and their distance in Å.
Positions (direct):
Re1 0.0000 0.0000 0.0000  2 B 1.93
B1 0.5000 0.0000 0.0000  2 Re 1.93
Au1 0.0000 0.0000 0.5000  2 Re 2.46
Au2 0.0000 0.5000 0.0000  2 Re 2.46
Ta1 0.5000 0.5000 0.5000  8 Au 3.13, 4 B 3.48

Calculated values
The crystal system is tetragonal. The space group is P4/mmm. Its volume is 18.7 Å³/atom.

[12]
Here is LiCuPO4 after structural relaxation from Alexandria. Energies are from PBEsol.

Cell: 4.7715 7.4824 8.8430 Å, 90.00 90.00 90.00°
Last column: nearest neighbours and their distance in Å.
Positions (direct):
Li1 0.9811 0.0361 0.6309  3 O 1.98-2.03
Li2 0.4811 0.4639 0.1309  3 O 1.98-2.03
Li3 0.9811 0.5361 0.8691  3 O 1.98-2.03
Li4 0.4811 0.9639 0.3691  3 O 1.98-2.03
Cu1 0.9608 0.1691 0.0398  4 O 1.91-2.04
Cu2 0.4608 0.3309 0.5398  4 O 1.91-2.04
Cu3 0.9608 0.6691 0.4602  4 O 1.91-2.04
Cu4 0.4608 0.8309 0.9602  4 O 1.91-2.04
P1 0.5555 0.2282 0.8517  4 O 1.51-1.59
P2 0.0555 0.2718 0.3517  4 O 1.51-1.59
P3 0.5555 0.7282 0.6483  4 O 1.51-1.59
P4 0.0555 0.7718 0.1483  4 O 1.51-1.59
O1 0.6581 0.0508 0.9344  1 P 1.59
O2 0.2087 0.1337 0.4575  1 P 1.57
O3 0.2416 0.2567 0.8451  1 P 1.51
O4 0.6862 0.2173 0.6918  1 P 1.55
O5 0.1862 0.2827 0.1918  1 P 1.55
O6 0.7416 0.2433 0.3451  1 P 1.51
O7 0.7087 0.3663 0.9575  1 P 1.57
O8 0.1581 0.4492 0.4344  1 P 1.59
O9 0.6581 0.5508 0.5656  1 P 1.59
O10 0.2087 0.6337 0.0425  1 P 1.57
O11 0.2416 0.7567 0.6549  1 P 1.51
O12 0.6862 0.7173 0.8082  1 P 1.55
O13 0.1862 0.7827 0.3082  1 P 1.55
O14 0.7416 0.7433 0.1549  1 P 1.51
O15 0.7087 0.8663 0.5425  1 P 1.57
O16 0.1581 0.9492 0.0656  1 P 1.59

Calculated values
The offset from the most stable computed form is 31 meV/atom. The crystal system is orthorhombic. Its uncorrected formation energy is -1.78 eV per atom. The space group is Pna2_1. Its volume is 11.3 Å³/atom.

Quick rundown of N(E_F), same order as above: 0.8, 4.4, 5.4, 1.5, 3.0, 5.1, 2.1, 2.8, 3.4, 2.3, 4.2, 0.9 states/eV/f.u.
Quick rundown of calculated total energy, same order as above: -3.00, -6.93, -2.57, -1.48, -8.01, -6.12, -4.41, -4.04, -10.24, -3.11, -6.56, -6.50 eV/atom